1.
The following is a PBE calculation of AsIrOs2 after structural relaxation, from Alexandria via LeMat-Bulk.

The structure in POSCAR format:
```
AsIrOs2
1.0
-1.592 -3.407 -1.346
2.433 -0.590 -1.384
3.078 -2.795 3.435
As Ir Os
1 1 2
Direct
0.500 0.250 0.250 As
0.500 0.750 0.750 Ir
0.000 0.123 0.005 Os
0.000 0.377 0.495 Os
```

- energy (eV/atom) = -8.660
- formation energy from the elements (meV per atom) = 332

2.
The following is a PBE calculation of AcHoIn after structural relaxation, from Alexandria via LeMat-Bulk.

The structure in POSCAR format:
```
AcHoIn
1.0
-2.390 -0.842 4.809
-4.616 -1.211 -2.506
4.144 -5.912 1.020
Ac Ho In
2 2 2
Direct
0.750 0.092 0.185 Ac
0.250 0.908 0.815 Ac
0.750 0.398 0.796 Ho
0.250 0.602 0.204 Ho
0.750 0.750 0.500 In
0.250 0.250 0.500 In
```

- offset from the most stable computed form (meV per atom) = 84
- energy (eV/atom) = -4.035
- formation energy from the elements (meV per atom) = -226

3.
The following is a PBE calculation of ScMnBRh2 after structural relaxation, from Alexandria via LeMat-Bulk.

The structure in POSCAR format:
```
ScMnBRh2
1.0
4.147 0.000 0.000
0.000 4.147 0.000
0.000 0.000 4.022
Sc B Mn Rh
1 1 1 2
Direct
0.500 0.500 0.500 Sc
0.000 0.000 0.000 B
0.000 0.000 0.500 Mn
0.000 0.500 0.000 Rh
0.500 0.000 0.000 Rh
```

- energy (eV/atom) = -7.926
- formation energy from the elements (meV per atom) = -550

4.
The following is a PBE calculation of AlSi2Ni after structural relaxation, from Alexandria via LeMat-Bulk.

The structure in POSCAR format:
```
AlSi2Ni
1.0
-0.315 3.642 -0.403
-3.372 -0.646 -3.197
-4.462 0.132 4.680
Al Si Ni
2 4 2
Direct
0.000 0.750 0.703 Al
0.000 0.250 0.297 Al
0.500 0.500 0.000 Si
0.500 0.000 0.000 Si
0.500 0.750 0.405 Si
0.500 0.250 0.595 Si
0.000 0.750 0.169 Ni
0.000 0.250 0.831 Ni
```

- raw formation energy (meV per atom) = -55
- energy (eV/atom) = -5.148

| no. | magnetization (μB/f.u.) |
| --- | --- |
| 1 | 0.0 |
| 2 | 0.0 |
| 3 | 3.0 |
| 4 | 0.0 |